# PrSi2Rh (GGA-PBE, optimized geometry)
# Symmetry: Pnma (62)
# E_tot, eV per atom: -6.6444
# Total moment, μB/f.u.: 0.00
# Uncorrected formation energy, kJ/mol of formula units: -347
# Crystal system: orthorhombic
data_PrSi2Rh
_chemical_formula_sum 'Pr8 Si16 Rh8'
_cell_length_a 13.6983
_cell_length_b 4.0518
_cell_length_c 10.7481
_cell_angle_alpha 90.00
_cell_angle_beta 90.00
_cell_angle_gamma 90.00
_symmetry_space_group_name_H-M 'P 1'
_symmetry_Int_Tables_number 1
loop_
_symmetry_equiv_pos_as_xyz
'x,y,z'
loop_
_atom_site_label
_atom_site_type_symbol
_atom_site_fract_x
_atom_site_fract_y
_atom_site_fract_z
Pr1 Pr 0.0552 0.2500 0.2460
Pr2 Pr 0.2007 0.7500 0.9765
Pr3 Pr 0.2993 0.2500 0.4765
Pr4 Pr 0.4448 0.7500 0.7460
Pr5 Pr 0.5552 0.2500 0.2540
Pr6 Pr 0.7007 0.7500 0.5235
Pr7 Pr 0.7993 0.2500 0.0235
Pr8 Pr 0.9448 0.7500 0.7540
Si1 Si 0.0291 0.2500 0.9562
Si2 Si 0.1117 0.2500 0.7651
Si3 Si 0.1203 0.7500 0.4642
Si4 Si 0.2170 0.7500 0.2644
Si5 Si 0.2830 0.2500 0.7644
Si6 Si 0.3797 0.2500 0.9642
Si7 Si 0.3883 0.7500 0.2651
Si8 Si 0.4709 0.7500 0.4562
Si9 Si 0.5291 0.2500 0.5438
Si10 Si 0.6117 0.2500 0.7349
Si11 Si 0.6203 0.7500 0.0358
Si12 Si 0.7170 0.7500 0.2356
Si13 Si 0.7830 0.2500 0.7356
Si14 Si 0.8797 0.2500 0.5358
Si15 Si 0.8883 0.7500 0.2349
Si16 Si 0.9709 0.7500 0.0438
Rh1 Rh 0.0606 0.2500 0.5558
Rh2 Rh 0.1876 0.7500 0.6772
Rh3 Rh 0.3124 0.2500 0.1772
Rh4 Rh 0.4394 0.7500 0.0558
Rh5 Rh 0.5606 0.2500 0.9442
Rh6 Rh 0.6876 0.7500 0.8228
Rh7 Rh 0.8124 0.2500 0.3228
Rh8 Rh 0.9394 0.7500 0.4442